The following is a GGA-PBE calculation of a relaxed Hf4VCo crystal, from Alexandria.

Structure (extended XYZ):
```
12
Lattice="3.9711 -5.9408 0.0000 3.9711 5.9408 0.0000 -2.1583 0.0000 4.8924" Properties=species:S:1:pos:R:3 pbc="T T T"
Hf 1.0173 3.8018 4.5325
Hf 0.8412 0.9029 3.2827
Hf 3.6875 3.8018 2.8061
Hf 1.9203 -0.9029 0.8365
Hf 3.8636 0.9029 4.0560
Hf 2.0964 -3.8018 2.0863
Hf 4.9428 -0.9029 1.6098
Hf 4.7666 -3.8018 0.3599
V 3.4315 1.4244 1.2231
V 2.3524 -1.4244 3.6693
Co 2.3524 5.9128 3.6693
Co 3.4315 -5.9128 1.2231
```

Values from the calculation:
formation enthalpy at 0 K	-0.034	eV per atom
calculated density	11.852	g/cm³
SG	C2/c (15)
D(E_F)	11.2	states/eV/cell